VASP calculation (PBE) on a geometry-optimized La2SiAu structure.

Structure (POSCAR):
```
La2SiAu
1.0
5.3491 -0.0059 0.0126
0.0038 5.3491 0.0126
-0.0056 -0.0056 3.6922
Au La Si
1 2 1
Direct
0.0000 0.5000 0.5000 Au
0.5000 0.5000 0.0000 La
0.0000 0.0000 0.0000 La
0.5000 0.0000 0.5000 Si
```

- ΔE_f (raw) (eV per formula unit) = -2.58
- symmetry = No. 123
- crystal system = tetragonal